No. 1
PBE-GGA Mg6Zn5In, relaxed; calculated formation energy = -0.0656 eV per atom; SG = P2/m, No. 10; volume = 19.00 Å³/atom
1.0
-3.915 -1.391 1.925
3.363 -0.596 6.411
0.443 7.231 0.440
Mg Zn In
6 5 1
direct
0.831 0.741 0.658 Mg
0.831 0.259 0.658 Mg
0.500 0.267 0.000 Mg
0.500 0.733 0.000 Mg
0.169 0.741 0.342 Mg
0.169 0.259 0.342 Mg
0.664 0.500 0.332 Zn
0.334 0.000 0.665 Zn
0.000 0.500 0.000 Zn
0.666 0.000 0.335 Zn
0.336 0.500 0.668 Zn
0.000 0.000 0.000 In



No. 2
PBE-GGA Mg3ZnIn12, relaxed; calculated formation energy = -0.0050 eV per atom; SG = P4/mmm, No. 123; volume = 24.86 Å³/atom
1.0
4.704 0.000 0.000
0.000 4.704 0.000
0.000 0.000 17.974
Mg Zn In
3 1 12
direct
0.000 0.000 0.249 Mg
0.000 0.000 0.500 Mg
0.000 0.000 0.751 Mg
0.000 0.000 0.000 Zn
0.500 0.500 0.000 In
0.500 0.500 0.249 In
0.500 0.500 0.500 In
0.500 0.500 0.751 In
0.500 0.000 0.122 In
0.500 0.000 0.374 In
0.500 0.000 0.626 In
0.500 0.000 0.878 In
0.000 0.500 0.122 In
0.000 0.500 0.374 In
0.000 0.500 0.626 In
0.000 0.500 0.878 In



No. 3
PBE-GGA MgZnIn2, relaxed; calculated formation energy = 0.0459 eV per atom; SG = R3m, No. 160; volume = 24.11 Å³/atom; energy above the most stable polymorph in this dataset = 51.2 meV/atom
1.0
4.651 0.000 0.000
2.326 4.028 0.000
2.326 1.343 5.148
Mg Zn In
1 1 2
direct
0.490 0.490 0.529 Mg
0.678 0.678 0.965 Zn
0.064 0.064 0.808 In
0.267 0.267 0.198 In



No. 4
PBE-GGA Mg4ZnIn2, relaxed; calculated formation energy = -0.0023 eV per atom; SG = Cmcm, No. 63; volume = 22.84 Å³/atom
1.0
-1.557 3.437 3.230
-3.198 -3.109 -2.053
2.157 -9.775 11.442
Mg Zn In
8 2 4
direct
0.828 0.656 0.150 Mg
0.828 0.656 0.350 Mg
0.172 0.344 0.850 Mg
0.172 0.344 0.650 Mg
0.838 0.676 0.750 Mg
0.162 0.324 0.250 Mg
0.500 0.000 0.000 Mg
0.500 0.000 0.500 Mg
0.503 0.005 0.750 Zn
0.497 0.995 0.250 Zn
0.164 0.329 0.441 In
0.836 0.671 0.941 In
0.164 0.329 0.059 In
0.836 0.671 0.559 In



No. 5
PBE-GGA Mg5ZnIn2, relaxed; calculated formation energy = -0.0456 eV per atom; SG = I4/mmm, No. 139; volume = 21.96 Å³/atom; energy above the most stable polymorph in this dataset = 0.0 meV/atom
1.0
4.433 0.000 0.000
0.000 4.433 0.000
-2.216 -2.216 8.940
Mg Zn In
5 1 2
direct
0.500 0.500 0.000 Mg
0.881 0.381 0.762 Mg
0.381 0.881 0.762 Mg
0.119 0.619 0.238 Mg
0.619 0.119 0.238 Mg
0.000 0.000 0.000 Zn
0.749 0.749 0.498 In
0.251 0.251 0.502 In



No. 6
PBE-GGA Mg16Zn12In, relaxed; calculated formation energy = -0.0678 eV per atom; SG = Cm, No. 8; volume = 19.04 Å³/atom
1.0
0.787 7.396 4.427
-5.882 1.442 -6.185
-2.900 -6.913 5.701
Mg Zn In
16 12 1
direct
0.341 0.341 0.315 Mg
0.999 0.999 0.001 Mg
0.992 0.992 0.678 Mg
0.294 0.294 0.691 Mg
0.665 0.406 0.002 Mg
0.592 0.278 0.596 Mg
0.009 0.703 0.385 Mg
0.005 0.637 0.006 Mg
0.724 0.334 0.326 Mg
0.392 0.994 0.682 Mg
0.994 0.392 0.682 Mg
0.334 0.724 0.326 Mg
0.637 0.005 0.006 Mg
0.703 0.009 0.385 Mg
0.278 0.592 0.596 Mg
0.406 0.665 0.002 Mg
0.826 0.826 0.163 Zn
0.632 0.632 0.830 Zn
0.356 0.168 0.989 Zn
0.825 0.632 0.663 Zn
0.200 0.007 0.354 Zn
0.373 0.994 0.175 Zn
0.182 0.802 0.819 Zn
0.802 0.182 0.819 Zn
0.994 0.373 0.175 Zn
0.007 0.200 0.354 Zn
0.632 0.825 0.663 Zn
0.168 0.356 0.989 Zn
0.639 0.639 0.330 In



No. 7
PBE-GGA Mg3ZnIn, relaxed; calculated formation energy = 0.1486 eV per atom; SG = Pm-3m, No. 221; volume = 25.55 Å³/atom; energy above the most stable polymorph in this dataset = 208.0 meV/atom
1.0
-1.553 2.432 4.128
-1.801 -4.317 1.866
4.440 -0.901 2.201
Zn Mg In
1 3 1
direct
0.000 0.000 0.000 Zn
0.000 0.500 0.000 Mg
0.000 0.000 0.500 Mg
0.500 0.000 0.000 Mg
0.500 0.500 0.500 In



No. 8
PBE-GGA Mg6ZnIn2, relaxed; calculated formation energy = -0.0867 eV per atom; SG = P-62m, No. 189; volume = 22.01 Å³/atom; energy above the most stable polymorph in this dataset = 0.0 meV/atom
1.0
-3.024 1.455 0.945
-3.652 -3.471 -6.342
0.350 -3.885 7.098
Mg Zn In
6 1 2
direct
0.500 0.633 0.000 Mg
0.500 0.367 0.367 Mg
0.500 0.000 0.633 Mg
0.000 0.268 0.000 Mg
0.000 0.732 0.732 Mg
0.000 0.000 0.268 Mg
0.500 0.000 0.000 Zn
0.000 0.333 0.667 In
0.000 0.667 0.333 In